# 1
A geometry-optimized Na2BiPbO4 structure, computed with GGA-PBE.

abc: 11.4043 4.7539 4.9376
angles: 90.00 114.98 90.00
Last column: nearest neighbours and their distance in Å.
Space group Cm (No. 8)
One atom of each set of equivalent atoms:
Na 0.0000 0.0000 0.0000 x2  5 O 2.39-2.61
Na 0.2473 0.5000 0.2504 x2  5 O 2.39-2.68
Bi 0.4994 0.0000 0.5061 x2  4 O 2.20-2.39
Pb 0.2543 0.0000 0.7560 x2  6 O 2.38-2.52
O 0.0216 0.0000 0.5218 x2  2 Bi 2.39, 1 Pb 2.41, 2 Na 2.48
O 0.2479 0.5000 0.7573 x2  2 Pb 2.38, 3 Na 2.44-2.61, 1 Bi 2.57
O 0.2752 0.0000 0.2844 x2  1 Bi 2.32, 2 Na 2.39, 2 Pb 2.44-2.52
O 0.4897 0.0000 0.9408 x2  1 Bi 2.20, 2 Na 2.39, 1 Pb 2.44

Properties
Its density of states at the Fermi level is 1.61 states/eV/f.u. Its uncorrected formation energy is -1.2674 eV/atom.


# 2
A geometry-optimized LiBC structure, computed with GGA-PBE.

abc: 10.1814 3.1095 3.6433
angles: 90.00 102.23 90.00
Last column: nearest neighbours and their distance in Å.
Space group C2/m (No. 12)
One atom of each set of equivalent atoms:
Li 0.1320 0.0000 0.4241 x4  2 C 2.24, 4 B 2.39-2.47
B 0.2099 0.5000 0.9902 x4  1 C 1.51
C 0.0611 0.5000 0.9822 x4  1 C 1.28

Properties
Its density of states at the Fermi level is 0.35 states/eV/f.u. The formation energy is -0.161 eV per formula unit.


# 3
A geometry-optimized Pm2TePb structure, computed with GGA-PBE.

abc: 7.8127 7.8127 7.8127
angles: 90.00 90.00 90.00
Last column: nearest neighbours and their distance in Å.
Space group Fm-3m (No. 225)
One atom of each set of equivalent atoms:
Pm 0.2500 0.2500 0.2500 x8  4 Te 3.38, 4 Pb 3.38
Te 0.0000 0.0000 0.0000 x4  8 Pm 3.38
Pb 0.0000 0.0000 0.5000 x4  8 Pm 3.38

Properties
Its density of states at the Fermi level is 3.30 states/eV/f.u. Its uncorrected formation energy is -0.7678 eV/atom.


# 4
A geometry-optimized LiY2PC structure, computed with GGA-PBE.

abc: 4.7964 4.7964 4.0301
angles: 90.00 90.00 90.00
Last column: nearest neighbours and their distance in Å.
Space group P4/mmm (No. 123)
One atom of each set of equivalent atoms:
Li 0.0000 0.0000 0.0000 x1  2 C 2.02
Y 0.0000 0.5000 0.5000 x2  2 C 2.40
P 0.5000 0.5000 0.0000 x1  8 Y 3.13, 4 Li 3.39
C 0.0000 0.0000 0.5000 x1  2 Li 2.02

Properties
Its density of states at the Fermi level is 0.74 states/eV/f.u. The formation energy is -2.952 eV per formula unit.